# 1
Na2ZnF2 | PBE | relaxed

Cell lengths 7.2475, 7.2475, 3.0035 Å; angles 90.00, 90.00, 90.00 degrees
Closest atoms and distances in Å follow each position.
Fractional coordinates of all 10 atoms:
F1 0.6382 0.8618 0.5000  4 Na 2.46
F2 0.1382 0.6382 0.5000  4 Na 2.46
F3 0.3618 0.1382 0.5000  4 Na 2.46
F4 0.8618 0.3618 0.5000  4 Na 2.46
Na1 0.8690 0.6310 0.0000  4 F 2.46, 1 Na 2.69
Na2 0.6310 0.1310 0.0000  4 F 2.46, 1 Na 2.69
Na3 0.1310 0.3690 0.0000  4 F 2.46, 1 Na 2.69
Na4 0.3690 0.8690 0.0000  4 F 2.46, 1 Na 2.69
Zn1 0.5000 0.5000 0.0000  4 Na 2.84, 2 Zn 3.00
Zn2 0.0000 0.0000 0.0000  4 Na 2.84, 2 Zn 3.00

Properties
- Fermi-level density of states: 0.000 states/eV/atom
- Energy: -3.2056 eV/atom
- Symmetry: P4/mbm, No. 127
- Energy relative to the elements, uncorrected: -1.675 eV/atom

# 2
NaZn2F4 | PBE | relaxed

Cell lengths 3.2265, 5.5420, 10.6134 Å; angles 90.00, 90.00, 106.92 degrees
Closest atoms and distances in Å follow each position.
Fractional coordinates of all 14 atoms:
F1 0.9522 0.9044 0.7500  2 Zn 2.10, 2 Na 2.34
F2 0.7681 0.5361 0.1117  3 Zn 2.21-2.22
F3 0.0478 0.0956 0.2500  2 Zn 2.10, 2 Na 2.34
F4 0.5000 0.0000 0.5000  4 Zn 2.25
F5 0.5000 0.0000 0.0000  4 Zn 2.25
F6 0.2319 0.4639 0.6117  3 Zn 2.21-2.22
F7 0.7681 0.5361 0.3883  3 Zn 2.21-2.22
F8 0.2319 0.4639 0.8883  3 Zn 2.21-2.22
Zn1 0.8699 0.7397 0.5705  6 F 2.10-2.25
Zn2 0.8699 0.7397 0.9295  6 F 2.10-2.25
Zn3 0.1301 0.2603 0.0705  6 F 2.10-2.25
Zn4 0.1301 0.2603 0.4295  6 F 2.10-2.25
Na1 0.6122 0.2244 0.7500  6 F 2.34-2.52
Na2 0.3878 0.7756 0.2500  6 F 2.34-2.52

Properties
- Fermi-level density of states: 0.098 states/eV/atom
- Energy: -3.6964 eV/atom
- Symmetry: Cmcm, No. 63
- Energy relative to the elements, uncorrected: -2.075 eV/atom

# 3
Na2ZnF5 | PBE | relaxed

Cell lengths 4.1959, 5.9773, 10.3919 Å; angles 90.00, 90.00, 110.55 degrees
Closest atoms and distances in Å follow each position.
Fractional coordinates of all 16 atoms:
F1 0.7128 0.4257 0.8901  1 Zn 1.95
F2 0.2872 0.5743 0.1099  1 Zn 1.95
F3 0.0499 0.0998 0.1202  1 Zn 1.91
F4 0.0499 0.0998 0.3798  1 Zn 1.91
F5 0.2872 0.5743 0.3901  1 Zn 1.95
F6 0.2980 0.5960 0.7500  2 Zn 2.13
F7 0.7020 0.4040 0.2500  2 Zn 2.13
F8 0.7128 0.4257 0.6099  1 Zn 1.95
F9 0.9501 0.9002 0.6202  1 Zn 1.91
F10 0.9501 0.9002 0.8798  1 Zn 1.91
Zn1 0.8292 0.6584 0.7500  6 F 1.91-2.13
Zn2 0.1708 0.3416 0.2500  6 F 1.91-2.13
Na1 0.1472 0.2944 0.9251  6 F 2.25-2.48
Na2 0.8528 0.7056 0.4251  6 F 2.25-2.48
Na3 0.1472 0.2944 0.5749  6 F 2.25-2.48
Na4 0.8528 0.7056 0.0749  6 F 2.25-2.48

Properties
- Fermi-level density of states: 0.304 states/eV/atom
- Energy: -3.9151 eV/atom
- Symmetry: Cmcm, No. 63
- Energy relative to the elements, uncorrected: -2.257 eV/atom

# 4
Na2Zn2F | PBE | relaxed

Cell lengths 3.4247, 3.4247, 8.6704 Å; angles 78.61, 78.61, 90.00 degrees
Closest atoms and distances in Å follow each position.
Fractional coordinates of all 5 atoms:
Na1 0.5852 0.5852 0.8296  4 F 2.81, 1 Na 2.84
Na2 0.4148 0.4148 0.1704  4 F 2.81, 1 Na 2.84
Zn1 0.7500 0.2500 0.5000  4 Zn 2.42
Zn2 0.2500 0.7500 0.5000  4 Zn 2.42
F1 0.0000 0.0000 0.0000  8 Na 2.81

Properties
- Fermi-level density of states: 0.232 states/eV/atom
- Energy: -2.2536 eV/atom
- Symmetry: I4/mmm, No. 139
- Energy relative to the elements, uncorrected: -0.842 eV/atom

# 5
Na6Zn3F14 | PBE | relaxed

Cell lengths 5.4214, 8.5196, 8.5196 Å; angles 120.00, 90.00, 90.00 degrees
Closest atoms and distances in Å follow each position.
Fractional coordinates of all 23 atoms:
F1 0.5511 0.4546 0.1926  1 Zn 1.95
F2 0.5098 0.0000 0.0000  1 Zn 1.89
F3 0.5579 0.1745 0.7294  1 Zn 1.93
F4 0.1416 0.8799 0.4785  1 Zn 1.95
F5 0.5579 0.2706 0.4451  1 Zn 1.93
F6 0.0290 0.1792 0.9653  1 Zn 1.93
F7 0.0360 0.3333 0.6667  1 Zn 1.88
F8 0.1416 0.5215 0.4014  1 Zn 1.95
F9 0.5579 0.5549 0.8255  1 Zn 1.93
F10 0.5511 0.8074 0.2620  1 Zn 1.95
F11 0.1416 0.5986 0.1201  1 Zn 1.95
F12 0.5511 0.7380 0.5454  1 Zn 1.95
F13 0.0290 0.0347 0.2139  1 Zn 1.93
F14 0.0290 0.7861 0.8208  1 Zn 1.93
Na1 0.3072 0.2480 0.2180  6 F 2.24-2.45
Na2 0.3072 0.7820 0.0300  6 F 2.24-2.45
Na3 0.8173 0.0406 0.4538  6 F 2.30-2.53
Na4 0.3072 0.9700 0.7520  6 F 2.24-2.45
Na5 0.8173 0.5462 0.5869  6 F 2.30-2.53
Na6 0.8173 0.4131 0.9594  6 F 2.30-2.53
Zn1 0.3836 0.3333 0.6667  4 F 1.88-1.93
Zn2 0.3437 0.6667 0.3333  6 F 1.95
Zn3 0.8577 0.0000 0.0000  4 F 1.89-1.93

Properties
- Fermi-level density of states: 0.767 states/eV/atom
- Energy: -3.9753 eV/atom
- Symmetry: P3, No. 143
- Energy relative to the elements, uncorrected: -2.326 eV/atom

# 6
Na6ZnF8 | PBE | relaxed

Cell lengths 6.6106, 6.6106, 6.6106 Å; angles 60.00, 60.00, 60.00 degrees
Closest atoms and distances in Å follow each position.
Fractional coordinates of all 15 atoms:
Zn1 0.0000 0.0000 0.0000  6 F 2.08
F1 0.2500 0.2500 0.2500  6 Na 2.34
F2 0.7500 0.7500 0.7500  6 Na 2.34
F3 0.2222 0.2222 0.7778  1 Zn 2.08
F4 0.7778 0.7778 0.2222  1 Zn 2.08
F5 0.7778 0.2222 0.7778  1 Zn 2.08
F6 0.7778 0.2222 0.2222  1 Zn 2.08
F7 0.2222 0.7778 0.7778  1 Zn 2.08
F8 0.2222 0.7778 0.2222  1 Zn 2.08
Na1 0.5000 0.5000 0.0000  6 F 2.34-2.35
Na2 0.0000 0.5000 0.5000  6 F 2.34-2.35
Na3 0.5000 0.0000 0.0000  6 F 2.34-2.35
Na4 0.5000 0.0000 0.5000  6 F 2.34-2.35
Na5 0.0000 0.0000 0.5000  6 F 2.34-2.35
Na6 0.0000 0.5000 0.0000  6 F 2.34-2.35

Properties
- Fermi-level density of states: 0.000 states/eV/atom
- Energy: -4.2759 eV/atom
- Symmetry: Fm-3m, No. 225
- Energy relative to the elements, uncorrected: -2.665 eV/atom

# 7
Na2Zn2F5 | PBE | relaxed

Cell lengths 3.4423, 6.9873, 6.0343 Å; angles 115.03, 90.00, 104.26 degrees
Closest atoms and distances in Å follow each position.
Fractional coordinates of all 9 atoms:
F1 0.8338 0.6677 0.4667  1 Zn 2.00
F2 0.3544 0.7088 0.0949  2 Zn 2.00, 1 Na 2.23
F3 0.0000 0.0000 0.0000  2 Zn 2.31, 4 Na 2.56
F4 0.6456 0.2912 0.9051  2 Zn 2.00, 1 Na 2.23
F5 0.1662 0.3323 0.5333  1 Zn 2.00
Zn1 0.9190 0.8379 0.2671  3 F 2.00
Zn2 0.0810 0.1621 0.7329  3 F 2.00
Na1 0.6410 0.2821 0.2708  4 F 2.23-2.35
Na2 0.3590 0.7179 0.7292  4 F 2.23-2.35

Properties
- Fermi-level density of states: 0.168 states/eV/atom
- Energy: -3.8237 eV/atom
- Symmetry: C2/m, No. 12
- Energy relative to the elements, uncorrected: -2.208 eV/atom

# 8
Na4ZnF6 | PBE | relaxed

Cell lengths 6.6067, 6.6067, 6.6067 Å; angles 89.14, 89.14, 90.86 degrees
Closest atoms and distances in Å follow each position.
Fractional coordinates of all 22 atoms:
F1 0.5494 0.2011 0.5696  1 Zn 2.05
F2 0.9304 0.7011 0.9506  1 Zn 2.05
F3 0.4304 0.5494 0.7989  1 Zn 2.05
F4 0.2011 0.4304 0.4506  1 Zn 2.05
F5 0.7989 0.5696 0.5494  1 Zn 2.05
F6 0.0696 0.2989 0.0494  1 Zn 2.05
F7 0.9506 0.0696 0.7011  1 Zn 2.05
F8 0.5696 0.4506 0.2011  1 Zn 2.05
F9 0.0494 0.9304 0.2989  1 Zn 2.05
F10 0.4506 0.7989 0.4304  1 Zn 2.05
F11 0.2989 0.9506 0.9304  1 Zn 2.05
F12 0.7011 0.0494 0.0696  1 Zn 2.05
Na1 0.2500 0.6037 0.1037  6 F 2.36-2.56
Na2 0.7500 0.7500 0.2500  6 F 2.32
Na3 0.1037 0.7500 0.6037  6 F 2.36-2.56
Na4 0.3963 0.1037 0.2500  6 F 2.36-2.56
Na5 0.8963 0.2500 0.3963  6 F 2.36-2.56
Na6 0.2500 0.2500 0.7500  6 F 2.32
Na7 0.7500 0.3963 0.8963  6 F 2.36-2.56
Na8 0.6037 0.8963 0.7500  6 F 2.36-2.56
Zn1 0.0000 0.0000 0.0000  6 F 2.05
Zn2 0.5000 0.5000 0.5000  6 F 2.05

Properties
- Fermi-level density of states: 0.000 states/eV/atom
- Energy: -4.2109 eV/atom
- Symmetry: R-3c, No. 167
- Energy relative to the elements, uncorrected: -2.595 eV/atom

# 9
Na2Zn2F | PBE | relaxed

Cell lengths 6.0912, 6.0912, 5.8954 Å; angles 90.00, 90.00, 90.00 degrees
Closest atoms and distances in Å follow each position.
Fractional coordinates of all 10 atoms:
Na1 0.3035 0.8035 0.0000  2 F 2.20
Na2 0.6965 0.1965 0.0000  2 F 2.20
Na3 0.1965 0.3035 0.0000  2 F 2.20
Na4 0.8035 0.6965 0.0000  2 F 2.20
F1 0.0000 0.0000 0.0000  4 Na 2.20
F2 0.5000 0.5000 0.0000  4 Na 2.20
Zn1 0.8440 0.3440 0.5000  1 Zn 2.69
Zn2 0.1560 0.6560 0.5000  1 Zn 2.69
Zn3 0.3440 0.1560 0.5000  1 Zn 2.69
Zn4 0.6560 0.8440 0.5000  1 Zn 2.69

Properties
- Fermi-level density of states: 0.299 states/eV/atom
- Energy: -2.1605 eV/atom
- Symmetry: P4/mbm, No. 127
- Energy relative to the elements, uncorrected: -0.749 eV/atom

# 10
NaZn4F8 | PBE | relaxed

Cell lengths 6.4653, 6.4653, 6.4653 Å; angles 60.00, 60.00, 60.00 degrees
Closest atoms and distances in Å follow each position.
Fractional coordinates of all 13 atoms:
Zn1 0.3731 0.3731 0.8806  6 F 2.12-2.16
Zn2 0.3731 0.8806 0.3731  6 F 2.12-2.16
Zn3 0.3731 0.3731 0.3731  6 F 2.12-2.16
Zn4 0.8806 0.3731 0.3731  6 F 2.12-2.16
F1 0.1428 0.5716 0.1428  3 Zn 2.12
F2 0.5716 0.1428 0.1428  3 Zn 2.12
F3 0.6080 0.6080 0.6080  3 Zn 2.16, 1 Na 2.25
F4 0.1428 0.1428 0.5716  3 Zn 2.12
F5 0.1760 0.6080 0.6080  3 Zn 2.16, 1 Na 2.25
F6 0.6080 0.6080 0.1760  3 Zn 2.16, 1 Na 2.25
F7 0.1428 0.1428 0.1428  3 Zn 2.12
F8 0.6080 0.1760 0.6080  3 Zn 2.16, 1 Na 2.25
Na1 0.7500 0.7500 0.7500  4 F 2.25

Properties
- Fermi-level density of states: 0.130 states/eV/atom
- Energy: -3.8076 eV/atom
- Symmetry: F-43m, No. 216
- Energy relative to the elements, uncorrected: -2.163 eV/atom